No. 1
Here is a relaxed structure of BPPtCl2 from Alexandria via LeMat-Bulk. Energies are from PBE.

a b c (Å): 5.1021 5.1021 4.4932
angles (deg): 90.00 90.00 90.00
Space group P4/mmm (No. 123)
Unique sites:
B1 0.0000 0.0000 0.0000 [1 per cell]
P1 0.5000 0.5000 0.0000 [1 per cell]
Pt1 0.5000 0.5000 0.5000 [1 per cell]
Cl1 0.0000 0.5000 0.5000 [2 per cell]

Calculated values
uncorrected formation energy: 1.072 eV/atom
total DFT energy (no corrections): -3.29 eV per atom
offset from the most stable computed form: 0.151 eV/atom



No. 2
Here is a relaxed structure of BP2PtCl from Alexandria via LeMat-Bulk. Energies are from PBE.

a b c (Å): 4.5850 4.5850 5.3089
angles (deg): 90.00 90.00 90.00
Space group P4/mmm (No. 123)
Unique sites:
B1 0.0000 0.0000 0.0000 [1 per cell]
P1 0.0000 0.5000 0.5000 [2 per cell]
Pt1 0.5000 0.5000 0.5000 [1 per cell]
Cl1 0.5000 0.5000 0.0000 [1 per cell]

Calculated values
uncorrected formation energy: 1.369 eV/atom
total DFT energy (no corrections): -3.71 eV per atom
offset from the most stable computed form: 0.502 eV/atom